(1)
Below is crystalline PmNdGaNi at its relaxed geometry, with properties calculated at the PBE level.

Output
Calculated volume ... 192.6 Å³ per cell
Calculated density ... 7.202 g/cm3
Magnetization ... 0.0 μB/f.u.
Relative energy among the computed polymorphs ... 0.0 kJ/mol of formula units
Energy relative to the elements ... -0.421 eV/atom
E_tot ... -5.003 eV/atom

a b c (Å): 4.4049 3.8518 11.3507
angles (deg): 90.00 90.00 90.00
Fractional positions:
Pm1 0.0000 0.0000 0.0000
Pm2 0.0000 0.5000 0.5000
Nd1 0.5000 0.0000 0.2786
Nd2 0.5000 0.5000 0.7786
Ga1 0.5000 0.0000 0.5688
Ga2 0.5000 0.5000 0.0688
Ni1 0.0000 0.0000 0.6958
Ni2 0.0000 0.5000 0.1958

(2)
Below is crystalline ScMnSeBr2 at its relaxed geometry, with properties calculated at the PBE level.

Output
Calculated volume ... 131.3 Å³ per cell
Calculated density ... 4.282 g/cm3
Magnetization ... 3.6 μB/f.u.
Relative energy among the computed polymorphs ... 115.5 kJ/mol of formula units
E_tot ... -4.789 eV/atom

a b c (Å): 5.0570 5.0570 5.1360
angles (deg): 90.00 90.00 90.00
Fractional positions:
Sc1 0.0000 0.0000 0.0000
Mn1 0.5000 0.5000 0.5000
Se1 0.5000 0.5000 0.0000
Br1 0.0000 0.5000 0.5000
Br2 0.5000 0.0000 0.5000

(3)
Below is crystalline Cs4LiPb3Br12 at its relaxed geometry, with properties calculated at the PBE level.

Output
Calculated volume ... 794.7 Å³ per cell
Calculated density ... 4.428 g/cm3
Magnetization ... 0.0 μB/f.u.
E_tot ... -3.102 eV/atom

a b c (Å): 10.1068 10.1068 10.1068
angles (deg): 109.47 109.47 109.47
Fractional positions:
Cs1 0.0000 0.0000 0.5000
Cs2 0.0000 0.5000 0.0000
Cs3 0.5000 0.0000 0.0000
Cs4 0.5000 0.5000 0.5000
Li1 0.0000 0.0000 0.0000
Pb1 0.0000 0.5000 0.5000
Pb2 0.5000 0.0000 0.5000
Pb3 0.5000 0.5000 0.0000
Br1 0.0000 0.2462 0.2462
Br2 0.0000 0.7538 0.7538
Br3 0.2462 0.0000 0.2462
Br4 0.2462 0.2462 0.0000
Br5 0.2500 0.5000 0.7500
Br6 0.2500 0.7500 0.5000
Br7 0.5000 0.2500 0.7500
Br8 0.5000 0.7500 0.2500
Br9 0.7500 0.2500 0.5000
Br10 0.7500 0.5000 0.2500
Br11 0.7538 0.0000 0.7538
Br12 0.7538 0.7538 0.0000

(4)
Below is crystalline NaAg3Sb3 at its relaxed geometry, with properties calculated at the PBE level.

Output
Calculated volume ... 368.3 Å³ per cell
Calculated density ... 6.420 g/cm3
Magnetization ... 0.0 μB/f.u.
Relative energy among the computed polymorphs ... 0.0 kJ/mol of formula units
E_tot ... -3.115 eV/atom

a b c (Å): 7.6751 7.6751 7.6751
angles (deg): 67.10 67.10 67.10
Fractional positions:
Na1 0.1669 0.1669 0.1669
Na2 0.8331 0.8331 0.8331
Ag1 0.0833 0.7537 0.4210
Ag2 0.2463 0.5790 0.9167
Ag3 0.4210 0.0833 0.7537
Ag4 0.5790 0.9167 0.2463
Ag5 0.7537 0.4210 0.0833
Ag6 0.9167 0.2463 0.5790
Sb1 0.0847 0.4095 0.7392
Sb2 0.2608 0.9153 0.5905
Sb3 0.4095 0.7392 0.0847
Sb4 0.5905 0.2608 0.9153
Sb5 0.7392 0.0847 0.4095
Sb6 0.9153 0.5905 0.2608

(5)
Below is crystalline EuYTl at its relaxed geometry, with properties calculated at the PBE level.

Output
Calculated volume ... 191.8 Å³ per cell
Calculated density ... 7.709 g/cm3
Magnetization ... 8.3 μB/f.u.
Relative energy among the computed polymorphs ... 0.0 kJ/mol of formula units
Energy relative to the elements ... -0.222 eV/atom
E_tot ... -6.590 eV/atom

a b c (Å): 3.8452 3.8452 12.9732
angles (deg): 90.00 90.00 90.00
Fractional positions:
Eu1 0.0000 0.0000 0.0000
Eu2 0.5000 0.5000 0.5000
Y1 0.0000 0.0000 0.6991
Y2 0.5000 0.5000 0.1991
Tl1 0.0000 0.0000 0.3371
Tl2 0.5000 0.5000 0.8371

(6)
Below is crystalline ZrSc2Ru at its relaxed geometry, with properties calculated at the PBE level.

Output
Calculated volume ... 80.9 Å³ per cell
Calculated density ... 5.792 g/cm3
Magnetization ... 0.0 μB/f.u.
Relative energy among the computed polymorphs ... 65.4 kJ/mol of formula units
Energy relative to the elements ... -0.183 eV/atom
E_tot ... -7.805 eV/atom

a b c (Å): 3.2268 4.4100 5.8939
angles (deg): 90.00 105.28 90.00
Fractional positions:
Zr1 0.0000 0.0000 0.0000
Sc1 0.3322 0.5000 0.7230
Sc2 0.6615 0.0000 0.4498
Ru1 0.8272 0.5000 0.2160

(7)
Below is crystalline Ca2SbPbO6 at its relaxed geometry, with properties calculated at the PBE level.

Output
Calculated volume ... 145.6 Å³ per cell
Calculated density ... 5.761 g/cm3
Magnetization ... 0.0 μB/f.u.
E_tot ... -6.139 eV/atom

a b c (Å): 6.0244 6.0244 6.0244
angles (deg): 57.47 57.47 57.47
Fractional positions:
Ca1 0.0000 0.0000 0.0000
Ca2 0.4923 0.4923 0.4923
Sb1 0.7084 0.7084 0.7084
Pb1 0.2200 0.2200 0.2200
O1 0.0497 0.4512 0.8218
O2 0.3580 0.9028 0.5977
O3 0.4512 0.8218 0.0497
O4 0.5977 0.3580 0.9028
O5 0.8218 0.0497 0.4512
O6 0.9028 0.5977 0.3580

(8)
Below is crystalline RbHgCl2 at its relaxed geometry, with properties calculated at the PBE level.

Output
Calculated volume ... 671.5 Å³ per cell
Calculated density ... 3.531 g/cm3
Magnetization ... 0.0 μB/f.u.
Relative energy among the computed polymorphs ... 6.5 kJ/mol of formula units
E_tot ... -2.270 eV/atom

a b c (Å): 6.5376 6.5376 15.7114
angles (deg): 90.00 90.00 90.00
Fractional positions:
Rb1 0.0000 0.0000 0.0000
Rb2 0.0000 0.5000 0.2500
Rb3 0.5000 0.0000 0.7500
Rb4 0.5000 0.5000 0.5000
Hg1 0.0000 0.0000 0.5000
Hg2 0.0000 0.5000 0.7500
Hg3 0.5000 0.0000 0.2500
Hg4 0.5000 0.5000 0.0000
Cl1 0.1888 0.2500 0.6250
Cl2 0.2500 0.6888 0.8750
Cl3 0.2500 0.8112 0.3750
Cl4 0.3112 0.2500 0.1250
Cl5 0.6888 0.7500 0.1250
Cl6 0.7500 0.1888 0.3750
Cl7 0.7500 0.3112 0.8750
Cl8 0.8112 0.7500 0.6250

(9)
Below is crystalline BaSr3Ca at its relaxed geometry, with properties calculated at the PBE level.

Output
Calculated volume ... 315.3 Å³ per cell
Calculated density ... 2.318 g/cm3
Magnetization ... 2.6 μB/f.u.
Relative energy among the computed polymorphs ... 181.8 kJ/mol of formula units
Energy relative to the elements ... 0.427 eV/atom
E_tot ... -1.367 eV/atom

a b c (Å): 6.8065 6.8065 6.8065
angles (deg): 90.00 90.00 90.00
Fractional positions:
Ba1 0.0000 0.0000 0.0000
Sr1 0.0000 0.5000 0.5000
Sr2 0.5000 0.0000 0.5000
Sr3 0.5000 0.5000 0.0000
Ca1 0.5000 0.5000 0.5000

(10)
Below is crystalline YTm14Pu at its relaxed geometry, with properties calculated at the PBE level.

Output
Calculated volume ... 477.5 Å³ per cell
Calculated density ... 9.383 g/cm3
Magnetization ... 6.0 μB/f.u.
Energy relative to the elements ... 0.041 eV/atom
E_tot ... -5.172 eV/atom

a b c (Å): 6.9672 6.9672 9.8363
angles (deg): 90.00 90.00 90.00
Fractional positions:
Y1 0.0000 0.0000 0.0000
Tm1 0.0000 0.0000 0.5000
Tm2 0.0000 0.5000 0.0000
Tm3 0.0000 0.5000 0.5000
Tm4 0.2519 0.2519 0.2493
Tm5 0.2519 0.2519 0.7507
Tm6 0.2519 0.7481 0.2493
Tm7 0.2519 0.7481 0.7507
Tm8 0.5000 0.0000 0.0000
Tm9 0.5000 0.0000 0.5000
Tm10 0.5000 0.5000 0.5000
Tm11 0.7481 0.2519 0.2493
Tm12 0.7481 0.2519 0.7507
Tm13 0.7481 0.7481 0.2493
Tm14 0.7481 0.7481 0.7507
Pu1 0.5000 0.5000 0.0000

(11)
Below is crystalline Li2FeMo at its relaxed geometry, with properties calculated at the PBE level.

Output
Calculated volume ... 114.0 Å³ per cell
Calculated density ... 4.826 g/cm3
Magnetization ... 2.3 μB/f.u.
Relative energy among the computed polymorphs ... 46.4 kJ/mol of formula units
Energy relative to the elements ... 0.351 eV/atom
E_tot ... -5.429 eV/atom

a b c (Å): 2.9075 4.1519 9.4438
angles (deg): 90.00 90.00 90.00
Fractional positions:
Li1 0.0000 0.0000 0.2384
Li2 0.0000 0.0000 0.7616
Li3 0.5000 0.5000 0.2384
Li4 0.5000 0.5000 0.7616
Fe1 0.0000 0.5000 0.0000
Fe2 0.5000 0.0000 0.0000
Mo1 0.0000 0.5000 0.5000
Mo2 0.5000 0.0000 0.5000